VASP calculation (GGA-PBE) on Ho2Ga4Ni3Au after structural relaxation.

The structure in POSCAR format:
```
Ho2Ga4Ni3Au
1.0
4.031 0.000 0.000
0.000 4.031 0.000
0.000 0.000 10.519
Ho Ga Ni Au
2 4 3 1
Cartesian
0.000 2.016 2.456 Ho
2.016 0.000 8.062 Ho
0.000 0.000 0.000 Ga
0.000 2.016 6.807 Ga
2.016 0.000 3.711 Ga
2.016 2.016 0.000 Ga
0.000 2.016 9.143 Ni
2.016 0.000 1.375 Ni
2.016 2.016 5.259 Ni
0.000 0.000 5.259 Au
```

Output
ΔE_f (kcal/mol of atoms): -13.3
Final energy (eV/atom): -4.765
DOS at the Fermi energy (states/eV per cell): 5.90
Calculated volume (Å³ per cell): 170.95